(A)
Here is a relaxed structure of Nd2RuO6 from Alexandria via LeMat-Bulk. Energies are from PBE-GGA.

Unit cell a=5.487 b=6.219 c=8.831 alpha=90.00 beta=122.27 gamma=90.00
Positions (direct):
Nd 0.212 0.097 0.250
Nd 0.212 0.403 0.750
Nd 0.788 0.597 0.250
Nd 0.788 0.903 0.750
Ru 0.500 0.000 0.000
Ru 0.500 0.500 0.500
O 0.147 0.152 0.947
O 0.147 0.348 0.447
O 0.300 0.726 0.933
O 0.300 0.774 0.433
O 0.394 0.048 0.758
O 0.394 0.452 0.258
O 0.606 0.548 0.742
O 0.606 0.952 0.242
O 0.700 0.226 0.567
O 0.700 0.274 0.067
O 0.853 0.652 0.553
O 0.853 0.848 0.053

Calculated values
* mass density: 6.3 g/cm³
* total moment: 0.22 μB per atom
* D(E_F): 4.880 states/eV/f.u.

=====

(B)
Here is a relaxed structure of Nd2RuO6 from Alexandria via LeMat-Bulk. Energies are from PBE-GGA.

Unit cell a=6.464 b=6.464 c=6.464 alpha=145.63 beta=129.82 gamma=62.24
Positions (direct):
Nd 0.167 0.167 0.000
Nd 0.833 0.833 0.000
Ru 0.500 0.500 0.000
O 0.122 0.355 0.767
O 0.295 0.000 0.295
O 0.412 0.645 0.767
O 0.588 0.355 0.233
O 0.705 0.000 0.705
O 0.878 0.645 0.233

Calculated values
* mass density: 7.0 g/cm³
* total moment: 0.23 μB per atom
* D(E_F): 2.167 states/eV/f.u.

=====

Top of the stability list: (A), leading by 21.7 kJ/mol of atoms.